Below is HoMnO3 after structural relaxation, with properties calculated at the PBE with a Hubbard U level.

The structure in POSCAR format:
```
HoMnO3
1.0
-1.616 -2.227 -5.553
-2.599 -2.297 5.135
-8.391 7.887 -0.721
Ho O Mn
6 18 6
direct
0.667 0.333 0.230
0.333 0.667 0.730
0.000 0.000 0.774
0.333 0.667 0.230
0.000 0.000 0.274
0.667 0.333 0.730
0.307 0.307 0.664
0.000 0.307 0.164
0.667 0.333 0.520
0.641 0.641 0.834
0.307 0.000 0.164
0.000 0.693 0.664
0.000 0.000 0.474
0.333 0.667 0.020
0.333 0.667 0.520
0.693 0.000 0.664
0.359 0.359 0.334
0.359 0.000 0.834
0.667 0.333 0.020
0.000 0.641 0.334
0.693 0.693 0.164
0.000 0.359 0.834
0.000 0.000 0.974
0.641 0.000 0.334
0.667 0.667 0.999
0.667 0.000 0.499
0.333 0.333 0.499
0.000 0.333 0.999
0.000 0.667 0.499
0.333 0.000 0.999
```

Properties
size of the total moment = 4.00 μB per formula unit
VASP energy = -8.04 eV/atom